Entry 1:
# MnC

A PBEsol-optimized structure of MnC (SCAN, the Alexandria database).

Properties
Energy = -13.454 eV per atom
Energy relative to the elements = 1.4 eV/f.u.
Crystal system = tetragonal

```
2
Lattice="2.650 0.000 0.000 0.000 2.650 0.000 0.000 0.000 2.796" Properties=species:S:1:pos:R:3 pbc="T T T"
Mn 0.000 0.000 0.000
C 1.325 1.325 0.000
```

***

Entry 2:
# MnC2

A PBEsol-optimized structure of MnC2 (SCAN, the Alexandria database).

Properties
Energy = -12.385 eV per atom
E above lowest polymorph = 0.0 meV per atom
Energy relative to the elements = 1.3 eV/f.u.
Crystal system = hexagonal

```
6
Lattice="2.543 0.000 0.000 -1.272 2.203 0.000 0.000 0.000 7.851" Properties=species:S:1:pos:R:3 pbc="T T T"
Mn 0.000 1.468 1.963
Mn 1.272 0.734 5.889
C 0.000 1.468 4.097
C 0.000 1.468 7.680
C 1.272 0.734 0.171
C 1.272 0.734 3.755
```

***

Entry 3:
# MnMoC3

A PBEsol-optimized structure of MnMoC3 (SCAN, the Alexandria database).

Properties
Energy = -14.812 eV per atom
Energy relative to the elements = 9.4 eV/f.u.
Crystal system = cubic

```
5
Lattice="3.664 0.000 0.000 0.000 3.664 0.000 0.000 0.000 3.664" Properties=species:S:1:pos:R:3 pbc="T T T"
Mn 0.000 0.000 0.000
Mo 1.832 1.832 1.832
C 0.000 0.000 1.832
C 0.000 1.832 0.000
C 1.832 0.000 0.000
```

***

Entry 4:
# MnMoC2

A PBEsol-optimized structure of MnMoC2 (SCAN, the Alexandria database).

Properties
Energy = -17.516 eV per atom
E above lowest polymorph = 446.4 meV per atom
Energy relative to the elements = 3.3 eV/f.u.
Crystal system = cubic

```
16
Lattice="5.175 0.000 0.000 0.000 5.175 0.000 0.000 0.000 5.175" Properties=species:S:1:pos:R:3 pbc="T T T"
Mn 0.000 0.000 0.000
Mn 0.000 2.587 2.587
Mn 2.587 0.000 2.587
Mn 2.587 2.587 0.000
Mo 0.000 0.000 2.587
Mo 0.000 2.587 0.000
Mo 2.587 0.000 0.000
Mo 2.587 2.587 2.587
C 1.294 1.294 1.294
C 1.294 1.294 3.881
C 1.294 3.881 1.294
C 1.294 3.881 3.881
C 3.881 1.294 1.294
C 3.881 1.294 3.881
C 3.881 3.881 1.294
C 3.881 3.881 3.881
```

***

Entry 5:
# MnMoC2

A PBEsol-optimized structure of MnMoC2 (SCAN, the Alexandria database).

Properties
Energy = -17.963 eV per atom
E above lowest polymorph = 0.0 meV per atom
Energy relative to the elements = 1.5 eV/f.u.
Crystal system = tetragonal

```
16
Lattice="4.492 0.000 0.000 0.000 4.492 0.000 0.000 0.000 8.928" Properties=species:S:1:pos:R:3 pbc="T T T"
Mn 0.000 0.000 0.000
Mn 0.000 2.246 2.232
Mn 2.246 0.000 6.696
Mn 2.246 2.246 4.464
Mo 0.000 0.000 4.464
Mo 0.000 2.246 6.696
Mo 2.246 0.000 2.232
Mo 2.246 2.246 0.000
C 1.024 1.123 1.116
C 1.123 3.270 3.348
C 1.123 3.468 7.812
C 1.222 1.123 5.580
C 3.270 3.369 5.580
C 3.369 1.024 7.812
C 3.369 1.222 3.348
C 3.468 3.369 1.116
```

***

Entry 6:
# Mn20Mo3C6

A PBEsol-optimized structure of Mn20Mo3C6 (SCAN, the Alexandria database).

Properties
Energy = -18.326 eV per atom
Energy relative to the elements = -1.1 eV/f.u.
Crystal system = cubic

```
29
Lattice="0.000 5.184 5.184 5.184 0.000 5.184 5.184 5.184 0.000" Properties=species:S:1:pos:R:3 pbc="T T T"
Mn 1.773 1.773 0.000
Mn 3.411 3.411 0.000
Mn 1.773 0.000 1.773
Mn 5.184 3.411 1.773
Mn 3.411 0.000 3.411
Mn 5.184 1.773 3.411
Mn 6.386 3.982 3.982
Mn 0.000 1.773 1.773
Mn 3.411 5.184 1.773
Mn 3.411 1.773 5.184
Mn 3.982 3.982 3.982
Mn 6.386 6.386 3.982
Mn 6.386 3.982 6.386
Mn 3.982 6.386 3.982
Mn 3.982 3.982 6.386
Mn 6.386 6.386 6.386
Mn 0.000 3.411 3.411
Mn 1.773 5.184 3.411
Mn 1.773 3.411 5.184
Mn 3.982 6.386 6.386
Mo 0.000 0.000 0.000
Mo 2.592 2.592 2.592
Mo 7.776 7.776 7.776
C 5.184 5.184 2.831
C 5.184 2.831 5.184
C 7.537 5.184 5.184
C 2.831 5.184 5.184
C 5.184 7.537 5.184
C 5.184 5.184 7.537
```

***

Entry 7:
# ScMnMo2C

A PBEsol-optimized structure of ScMnMo2C (SCAN, the Alexandria database).

Properties
Energy = -22.504 eV per atom
Energy relative to the elements = -0.2 eV/f.u.
Crystal system = tetragonal

```
5
Lattice="4.086 0.000 0.000 0.000 4.086 0.000 0.000 0.000 4.399" Properties=species:S:1:pos:R:3 pbc="T T T"
Sc 0.000 0.000 0.000
Mn 2.043 2.043 0.000
Mo 0.000 2.043 2.199
Mo 2.043 0.000 2.199
C 0.000 0.000 2.199
```

***

Entry 8:
# MnCN2O

A PBEsol-optimized structure of MnCN2O (SCAN, the Alexandria database).

Properties
Energy = -8.998 eV per atom
Formation energy without anion corrections = 1.64 eV per atom
Crystal system = tetragonal

```
5
Lattice="3.540 0.000 0.000 0.000 3.540 0.000 0.000 0.000 3.783" Properties=species:S:1:pos:R:3 pbc="T T T"
Mn 0.000 0.000 0.000
C 1.770 1.770 1.891
N 0.000 1.770 0.000
N 1.770 0.000 0.000
O 0.000 0.000 1.891
```

***

Entry 9:
# MnCSN2

A PBEsol-optimized structure of MnCSN2 (SCAN, the Alexandria database).

Properties
Energy = -9.643 eV per atom
Formation energy without anion corrections = 1.67 eV per atom
Crystal system = tetragonal

```
5
Lattice="3.478 0.000 0.000 0.000 3.478 0.000 0.000 0.000 4.277" Properties=species:S:1:pos:R:3 pbc="T T T"
Mn 0.000 0.000 0.000
C 0.000 0.000 2.138
S 1.739 1.739 2.138
N 0.000 1.739 0.000
N 1.739 0.000 0.000
```

***

Entry 10:
# NaMnC2O

A PBEsol-optimized structure of NaMnC2O (SCAN, the Alexandria database).

Properties
Energy = -8.774 eV per atom
Formation energy without anion corrections = 1.01 eV per atom
Crystal system = tetragonal

```
5
Lattice="3.567 0.000 0.000 0.000 3.567 0.000 0.000 0.000 6.412" Properties=species:S:1:pos:R:3 pbc="T T T"
Na 0.000 0.000 0.000
Mn 0.000 0.000 3.206
C 0.000 1.784 3.206
C 1.784 0.000 3.206
O 1.784 1.784 0.000
```

***

Entry 11:
# Na3MnPCO7

A PBEsol-optimized structure of Na3MnPCO7 (SCAN, the Alexandria database).

Properties
Energy = -9.505 eV per atom
Formation energy without anion corrections = -2.20 eV per atom
Crystal system = monoclinic

```
26
Lattice="5.258 0.000 0.000 0.000 6.611 0.000 -0.042 0.000 8.969" Properties=species:S:1:pos:R:3 pbc="T T T"
Na 5.214 0.000 8.967
Na 0.002 3.305 0.002
Na 0.301 1.645 3.011
Na 2.607 3.302 4.483
Na 2.609 6.607 4.486
Na 4.915 4.951 5.958
Mn 2.506 4.956 1.832
Mn 2.710 1.651 7.137
P 2.510 4.956 7.562
P 2.706 1.651 1.406
C -0.003 4.956 3.125
C 5.219 1.651 5.844
O 0.309 4.960 1.876
O 0.919 4.956 4.036
O 0.991 4.959 7.758
O 1.219 1.648 5.478
O 1.962 1.648 0.037
O 2.229 2.889 2.228
O 2.235 0.413 2.231
O 2.981 3.718 6.737
O 2.987 6.194 6.741
O 3.254 4.953 8.931
O 3.997 4.954 3.490
O 4.225 1.653 1.211
O 4.297 1.650 4.932
O 4.907 1.654 7.093
```

***

Entry 12:
# NaMnPCO7

A PBEsol-optimized structure of NaMnPCO7 (SCAN, the Alexandria database).

Properties
Energy = -9.934 eV per atom
E above lowest polymorph = 0.0 meV per atom
Formation energy without anion corrections = -2.06 eV per atom
Crystal system = triclinic

```
44
Lattice="6.056 0.000 0.000 -0.423 10.088 0.000 -0.490 -5.028 9.412" Properties=species:S:1:pos:R:3 pbc="T T T"
Na 0.000 0.000 0.000
Na -0.678 0.023 9.410
Na 2.609 2.914 3.928
Na 4.570 7.670 4.195
Mn 0.416 4.942 5.371
Mn 0.652 -0.108 5.392
Mn 3.482 2.683 8.193
Mn 3.700 -2.346 8.213
P 0.652 -2.647 7.358
P 0.441 2.413 7.342
P 3.704 0.174 6.232
P 3.498 5.238 6.234
C 0.813 0.418 3.110
C 0.647 5.495 3.096
C 3.952 2.215 1.089
C 3.808 7.214 1.071
O -0.694 2.457 8.407
O -0.477 -2.587 8.432
O 0.272 -1.826 6.115
O 0.092 3.238 6.100
O 0.611 -0.792 3.615
O 0.556 4.262 3.596
O 0.851 0.719 1.925
O 0.705 5.784 1.909
O 0.424 5.953 6.976
O 0.649 0.923 6.970
O 0.644 6.354 4.115
O 0.974 1.268 4.127
O 1.872 -2.052 8.076
O 1.661 2.996 8.076
O 2.480 -0.437 5.528
O 2.279 4.637 5.500
O 3.947 1.317 0.100
O 3.736 6.338 0.064
O 3.467 1.662 6.599
O 3.779 1.980 2.276
O 3.697 -3.371 6.617
O 3.745 6.937 2.260
O 4.167 3.413 0.552
O 3.976 8.424 0.548
O 4.077 -0.625 7.497
O 3.869 4.412 7.474
O 4.835 0.082 5.176
O 4.616 5.200 5.153
```

***

Entry 13:
# NaMnPCO7

A PBEsol-optimized structure of NaMnPCO7 (SCAN, the Alexandria database).

Properties
Energy = -9.930 eV per atom
E above lowest polymorph = 3.9 meV per atom
Formation energy without anion corrections = -2.06 eV per atom
Crystal system = triclinic

```
44
Lattice="7.705 0.000 0.000 -1.475 7.881 0.000 -2.610 -4.330 9.367" Properties=species:S:1:pos:R:3 pbc="T T T"
Na -1.098 2.499 2.100
Na 0.219 -1.572 7.286
Na 3.400 5.123 2.081
Na 4.718 1.051 7.267
Mn -0.776 5.865 3.269
Mn -0.165 1.652 6.108
Mn 3.784 1.898 3.259
Mn 4.396 -2.315 6.098
P -2.270 3.821 5.253
P 1.270 3.676 4.135
P 2.349 -0.126 5.232
P 5.889 -0.270 4.114
C -1.279 5.565 0.994
C 0.347 1.861 8.382
C 3.273 1.689 0.985
C 4.899 -2.015 8.373
O -2.151 -1.433 7.352
O -1.562 0.540 5.398
O 0.037 2.520 0.190
O -0.492 -0.591 3.393
O -1.472 5.107 4.917
O -1.489 2.984 6.305
O -0.350 6.352 1.499
O 0.404 4.400 3.069
O -0.587 1.045 7.864
O 0.504 2.389 4.519
O 0.393 -2.741 9.165
O 1.036 0.197 5.984
O 2.086 -1.003 4.009
O 2.697 1.044 1.990
O 0.922 2.506 7.377
O 1.533 4.554 5.358
O 2.584 3.353 3.383
O 3.227 6.291 0.202
O 3.115 1.162 4.848
O 4.207 2.506 1.503
O 3.215 -0.850 6.298
O 3.970 -2.802 7.868
O 5.108 0.566 3.062
O 5.091 -1.557 4.450
O 4.112 4.141 5.974
O 3.582 1.031 9.177
O 5.182 3.011 3.969
O 5.770 4.984 2.015
```

***

Entry 14:
# NaMnPCO7

A PBEsol-optimized structure of NaMnPCO7 (SCAN, the Alexandria database).

Properties
Energy = -9.915 eV per atom
E above lowest polymorph = 19.0 meV per atom
Formation energy without anion corrections = -2.04 eV per atom
Crystal system = monoclinic

```
44
Lattice="5.117 -6.159 0.000 5.117 6.159 0.000 -4.962 0.000 8.995" Properties=species:S:1:pos:R:3 pbc="T T T"
Na 5.117 4.620 0.000
Na 2.210 1.827 5.094
Na 2.210 -1.827 5.094
Na 5.117 -4.620 0.000
Mn 2.325 3.070 1.103
Mn -0.049 0.000 3.915
Mn 2.325 -3.070 1.103
Mn 5.185 0.000 3.900
P 2.577 0.000 2.020
P 4.844 3.046 3.084
P 7.763 0.000 1.818
P 4.844 -3.046 3.084
C -0.666 0.000 6.180
C 2.987 3.188 7.801
C 4.806 0.000 6.226
C 2.987 -3.188 7.801
O -0.967 0.000 2.268
O 0.094 1.888 3.948
O -1.260 2.897 8.805
O -1.462 0.000 5.102
O 2.133 1.196 1.142
O 3.338 3.067 2.701
O -1.006 0.000 7.341
O 1.814 0.000 3.365
O 1.767 3.159 8.319
O 2.133 -1.196 1.142
O 0.607 0.000 5.708
O 0.094 -1.888 3.948
O 5.685 2.981 1.800
O 3.272 3.097 6.613
O 4.079 0.000 2.348
O 5.125 1.865 4.028
O -1.260 -2.897 8.805
O 3.832 0.000 5.318
O 7.590 1.227 0.897
O 3.338 -3.067 2.701
O 6.825 0.000 3.016
O 4.623 0.000 7.454
O 5.125 -1.865 4.028
O 1.767 -3.159 8.319
O 5.967 0.000 5.631
O 7.590 -1.227 0.897
O 5.685 -2.981 1.800
O 3.272 -3.097 6.613
```

***

Entry 15:
# NaMnPCO7

A PBEsol-optimized structure of NaMnPCO7 (SCAN, the Alexandria database).

Properties
Energy = -9.929 eV per atom
E above lowest polymorph = 4.3 meV per atom
Formation energy without anion corrections = -2.06 eV per atom
Crystal system = monoclinic

```
44
Lattice="10.526 0.000 0.000 0.000 6.144 0.000 -4.855 0.000 8.971" Properties=species:S:1:pos:R:3 pbc="T T T"
Na 1.298 0.326 2.000
Na -1.129 2.746 6.486
Na 6.800 3.398 2.485
Na 4.373 5.818 6.971
Mn 0.922 4.604 5.040
Mn 3.349 4.611 0.554
Mn 2.322 1.532 8.417
Mn 4.750 1.539 3.931
P 1.803 1.503 5.185
P 4.230 1.569 0.699
P 1.441 4.575 8.272
P 3.868 4.641 3.787
C -0.838 4.490 3.484
C -3.265 4.725 7.970
C 8.937 1.419 1.001
C 6.509 1.653 5.487
O -0.682 1.333 1.816
O -3.109 1.739 6.302
O -0.964 4.488 4.808
O 1.463 4.728 0.322
O 0.460 4.602 3.199
O -1.967 4.614 7.684
O 0.824 0.319 5.000
O 3.252 2.752 0.514
O 3.289 0.357 0.580
O 0.862 2.715 5.065
O 0.713 4.528 6.925
O 3.140 4.687 2.440
O 2.848 1.493 4.035
O 0.421 1.579 8.520
O 5.250 4.565 0.451
O 2.823 4.650 4.936
O 2.531 1.457 6.531
O 4.958 1.615 2.046
O 4.810 3.428 3.906
O 2.382 5.787 8.391
O 2.419 3.391 8.457
O 4.847 5.824 3.972
O 7.638 1.530 1.287
O 5.211 1.542 5.772
O 4.208 1.416 8.649
O 6.635 1.656 4.163
O 8.781 4.405 2.670
O 6.353 4.810 7.155
```

***

Entry 16:
# Na2MnCSO7

A PBEsol-optimized structure of Na2MnCSO7 (SCAN, the Alexandria database).

Properties
Energy = -9.382 eV per atom
Formation energy without anion corrections = -1.88 eV per atom
Crystal system = monoclinic

```
24
Lattice="5.271 0.000 0.000 0.000 6.752 0.000 -0.216 0.000 9.014" Properties=species:S:1:pos:R:3 pbc="T T T"
Na 1.160 0.043 2.631
Na 1.160 3.333 2.631
Na 3.895 3.419 6.383
Na 3.895 6.709 6.383
Mn 1.014 5.064 7.790
Mn 4.041 1.688 1.224
C 1.313 5.064 5.245
C 3.742 1.688 3.769
S 1.237 1.688 8.327
S 3.818 5.064 0.688
O 0.120 5.064 5.770
O 0.907 1.688 0.703
O 0.774 0.482 7.605
O 0.774 2.894 7.605
O 1.529 5.064 4.001
O 2.317 5.064 0.607
O 2.297 5.064 6.125
O 2.759 1.688 2.890
O 2.739 1.688 8.407
O 3.526 1.688 5.014
O 4.281 3.858 1.410
O 4.281 6.270 1.410
O 4.148 5.064 8.311
O 4.935 1.688 3.245
```